(one)
# YTmSc6

A geometry-optimized YTmSc6 structure (PBE, Alexandria via LeMat-Bulk).

Cell and atoms, written as extended XYZ:
```
8
Lattice="-3.3699 1.5076 -2.9021 3.2837 -2.6183 -5.1733 -3.2837 -5.7382 0.8322" Properties=species:S:1:pos:R:3 pbc="T T T"
Y -1.6850 -3.4245 -3.6216
Sc 0.0000 -2.0757 -1.0783
Sc 0.0000 -6.2808 -3.2628
Sc -1.6506 -4.9624 -0.6612
Sc -0.0431 -0.5554 -4.0377
Sc -3.3268 -2.1153 -1.0349
Sc 1.6506 -3.3941 -3.6800
Tm -1.6850 0.7538 -1.4510
```

Calculated values
As for the volume: 26.1 A^3/atom. Its total magnetization is 0.000 μB/atom. Its density of states at the Fermi level is 15.50 states/eV per cell.

=====

(two)
# YTmSc6

A geometry-optimized YTmSc6 structure (PBE, Alexandria via LeMat-Bulk).

Cell and atoms, written as extended XYZ:
```
8
Lattice="-5.0360 1.6034 0.0586 -1.5187 -4.5971 -4.7330 -0.4403 -1.6225 6.5585" Properties=species:S:1:pos:R:3 pbc="T T T"
Sc -1.2993 -4.2009 3.2830
Sc -1.0731 -3.3679 -0.0671
Sc -3.1991 -1.2852 -1.4035
Sc -3.9437 -3.5388 -3.7296
Sc -4.1585 -4.3312 -0.5095
Sc -0.2962 -1.0161 2.3482
Y -3.4073 -2.0592 1.8869
Tm -0.5305 -1.8713 5.6143
```

Calculated values
As for the volume: 26.2 A^3/atom. Its total magnetization is 0.276 μB/atom. Its density of states at the Fermi level is 15.38 states/eV per cell.

=====

Most stable: (two)

=====

(one)
# YTm7Sc4

A geometry-optimized YTm7Sc4 structure (PBE, Alexandria via LeMat-Bulk).

Cell and atoms, written as extended XYZ:
```
12
Lattice="-2.8469 -0.5199 4.8711 -7.3531 -4.8775 -1.5228 0.4614 -7.7109 2.7419" Properties=species:S:1:pos:R:3 pbc="T T T"
Tm -4.1182 -3.3970 3.8211
Tm -1.4235 -0.2600 2.4356
Tm -5.6204 -9.7113 2.2691
Tm -5.5238 -8.2773 5.7739
Tm -8.4892 -8.8258 3.9822
Tm -1.2493 -4.2825 2.1080
Tm -4.2148 -4.8311 0.3163
Sc -3.4721 -6.3538 3.8830
Sc -6.7212 -3.5848 2.2797
Sc -3.0174 -9.5235 3.8105
Sc -6.2664 -6.7545 2.2072
Y 0.0000 0.0000 0.0000
```

Calculated values
As for the volume: 29.0 A^3/atom. Its total magnetization is 0.050 μB/atom. Its density of states at the Fermi level is 20.04 states/eV per cell.

=====

(two)
# YTm7Sc4

A geometry-optimized YTm7Sc4 structure (PBE, Alexandria via LeMat-Bulk).

Cell and atoms, written as extended XYZ:
```
12
Lattice="6.1095 -1.7802 2.6592 0.6857 5.5380 2.1326 2.6337 -2.1646 10.3763" Properties=species:S:1:pos:R:3 pbc="T T T"
Sc 5.5545 -0.9559 9.0297
Sc 3.8744 2.5491 6.1384
Sc 2.0258 0.1806 4.4099
Sc 7.4031 1.4126 10.7583
Tm 4.3357 2.2618 9.4295
Tm 5.0932 -0.6686 5.7386
Tm 4.8869 1.4542 3.0858
Tm 4.5420 0.1391 12.0823
Tm 2.4446 -0.0119 7.6763
Tm 3.0547 -0.8901 1.3296
Tm 6.9843 1.6052 7.4918
Y 0.0000 0.0000 0.0000
```

Calculated values
As for the volume: 28.3 A^3/atom. Its total magnetization is 0.000 μB/atom. Its density of states at the Fermi level is 18.30 states/eV per cell.

=====

Most stable: (two)